one.
## MoP3Rh (PBE)

Data for an optimized crystal structure of MoP3Rh.

Results
SG   Pm-3m (221)
Volume   18.26 Å³/atom
Theoretical density   5.305 g/cm³

Unit cell a=4.503 b=4.503 c=4.503 alpha=90.00 beta=90.00 gamma=90.00
Fractional coordinates of all 5 atoms:
1 P 0.000 0.500 0.000
2 P 0.000 0.000 0.500
3 P 0.500 0.000 0.000
4 Mo 0.500 0.500 0.500
5 Rh 0.000 0.000 0.000


two.
## MoP3Rh (PBE)

Data for an optimized crystal structure of MoP3Rh.

Results
SG   Pm-3m (221)
Volume   19.62 Å³/atom
Theoretical density   4.938 g/cm³

Unit cell a=4.612 b=4.612 c=4.612 alpha=90.00 beta=90.00 gamma=90.00
Fractional coordinates of all 5 atoms:
1 P 0.000 0.500 0.000
2 P 0.000 0.000 0.500
3 P 0.500 0.000 0.000
4 Mo 0.000 0.000 0.000
5 Rh 0.500 0.500 0.500


Most stable structure, least stable structure: two, one.


one.
## MoPRhS2 (PBE)

Data for an optimized crystal structure of MoPRhS2.

Results
SG   P4/mmm (123)
Volume   19.55 Å³/atom
Theoretical density   4.993 g/cm³

Unit cell a=4.735 b=4.735 c=4.359 alpha=90.00 beta=90.00 gamma=90.00
Fractional coordinates of all 5 atoms:
1 P 0.000 0.000 0.500
2 Mo 0.500 0.500 0.500
3 Rh 0.000 0.000 0.000
4 S 0.000 0.500 0.000
5 S 0.500 0.000 0.000


two.
## MoPRhS2 (PBE)

Data for an optimized crystal structure of MoPRhS2.

Results
SG   P4/mmm (123)
Volume   19.84 Å³/atom
Theoretical density   4.920 g/cm³

Unit cell a=4.580 b=4.580 c=4.729 alpha=90.00 beta=90.00 gamma=90.00
Fractional coordinates of all 5 atoms:
1 P 0.000 0.000 0.500
2 Mo 0.000 0.000 0.000
3 Rh 0.500 0.500 0.500
4 S 0.000 0.500 0.000
5 S 0.500 0.000 0.000


Most stable structure, least stable structure: two, one.


one.
## MoPRu3 (PBE)

Data for an optimized crystal structure of MoPRu3.

Results
SG   Pm-3m (221)
Volume   16.07 Å³/atom
Theoretical density   8.889 g/cm³

Unit cell a=4.315 b=4.315 c=4.315 alpha=90.00 beta=90.00 gamma=90.00
Fractional coordinates of all 5 atoms:
1 Ru 0.000 0.500 0.000
2 Ru 0.000 0.000 0.500
3 Ru 0.500 0.000 0.000
4 Mo 0.500 0.500 0.500
5 P 0.000 0.000 0.000


two.
## MoPRu3 (PBE)

Data for an optimized crystal structure of MoPRu3.

Results
SG   Pm-3m (221)
Volume   20.00 Å³/atom
Theoretical density   7.142 g/cm³

Unit cell a=4.642 b=4.642 c=4.642 alpha=90.00 beta=90.00 gamma=90.00
Fractional coordinates of all 5 atoms:
1 Ru 0.000 0.500 0.000
2 Ru 0.000 0.000 0.500
3 Ru 0.500 0.000 0.000
4 Mo 0.000 0.000 0.000
5 P 0.500 0.500 0.500


Most stable structure, least stable structure: one, two.


one.
## Mo2P2Ru (PBE)

Data for an optimized crystal structure of Mo2P2Ru.

Results
SG   P4/mbm (127)
Volume   14.55 Å³/atom
Theoretical density   8.103 g/cm³

Unit cell a=6.953 b=6.953 c=3.009 alpha=90.00 beta=90.00 gamma=90.00
Fractional coordinates of all 10 atoms:
1 Ru 0.000 0.000 0.000
2 Ru 0.500 0.500 0.000
3 Mo 0.357 0.857 0.000
4 Mo 0.857 0.643 0.000
5 Mo 0.643 0.143 0.000
6 Mo 0.143 0.357 0.000
7 P 0.151 0.651 0.500
8 P 0.651 0.849 0.500
9 P 0.849 0.349 0.500
10 P 0.349 0.151 0.500


two.
## Mo2P2Ru (PBE)

Data for an optimized crystal structure of Mo2P2Ru.

Results
SG   P4/mbm (127)
Volume   13.99 Å³/atom
Theoretical density   8.426 g/cm³

Unit cell a=6.688 b=6.688 c=3.127 alpha=90.00 beta=90.00 gamma=90.00
Fractional coordinates of all 10 atoms:
1 Ru 0.000 0.000 0.000
2 Ru 0.500 0.500 0.000
3 Mo 0.144 0.644 0.500
4 Mo 0.644 0.856 0.500
5 Mo 0.856 0.356 0.500
6 Mo 0.356 0.144 0.500
7 P 0.344 0.844 0.000
8 P 0.844 0.656 0.000
9 P 0.656 0.156 0.000
10 P 0.156 0.344 0.000


Most stable structure, least stable structure: two, one.


one.
## MoP3S (PBE)

Data for an optimized crystal structure of MoP3S.

Results
SG   Pm-3m (221)
Volume   16.54 Å³/atom
Theoretical density   4.436 g/cm³

Unit cell a=4.357 b=4.357 c=4.357 alpha=90.00 beta=90.00 gamma=90.00
Fractional coordinates of all 5 atoms:
1 P 0.000 0.500 0.000
2 P 0.000 0.000 0.500
3 P 0.500 0.000 0.000
4 Mo 0.500 0.500 0.500
5 S 0.000 0.000 0.000


two.
## MoP3S (PBE)

Data for an optimized crystal structure of MoP3S.

Results
SG   Pm-3m (221)
Volume   20.16 Å³/atom
Theoretical density   3.640 g/cm³

Unit cell a=4.654 b=4.654 c=4.654 alpha=90.00 beta=90.00 gamma=90.00
Fractional coordinates of all 5 atoms:
1 P 0.000 0.500 0.000
2 P 0.000 0.000 0.500
3 P 0.500 0.000 0.000
4 Mo 0.000 0.000 0.000
5 S 0.500 0.500 0.500


Most stable structure, least stable structure: two, one.


one.
## Mo2PS (PBE)

Data for an optimized crystal structure of Mo2PS.

Results
SG   I-42d (122)
Volume   17.72 Å³/atom
Theoretical density   5.973 g/cm³

Unit cell a=4.541 b=4.541 c=7.587 alpha=72.59 beta=72.59 gamma=90.00
Fractional coordinates of all 8 atoms:
1 P 0.500 0.500 0.000
2 P 0.250 0.750 0.500
3 Mo 0.637 0.125 0.250
4 Mo 0.113 0.625 0.250
5 Mo 0.375 0.363 0.750
6 Mo 0.875 0.887 0.750
7 S 0.000 0.000 0.000
8 S 0.750 0.250 0.500


two.
## Mo2PS (PBE)

Data for an optimized crystal structure of Mo2PS.

Results
SG   Fm-3m (225)
Volume   13.67 Å³/atom
Theoretical density   7.739 g/cm³

Unit cell a=4.261 b=4.261 c=4.261 alpha=60.00 beta=60.00 gamma=60.00
Fractional coordinates of all 4 atoms:
1 P 0.000 0.000 0.000
2 Mo 0.250 0.250 0.250
3 Mo 0.750 0.750 0.750
4 S 0.500 0.500 0.500


Most stable structure, least stable structure: two, one.


one.
## SbMoPS2 (PBE)

Data for an optimized crystal structure of SbMoPS2.

Results
SG   P4/mmm (123)
Volume   21.24 Å³/atom
Theoretical density   4.892 g/cm³

Unit cell a=4.573 b=4.573 c=5.076 alpha=90.00 beta=90.00 gamma=90.00
Fractional coordinates of all 5 atoms:
1 Sb 0.500 0.500 0.500
2 Mo 0.000 0.000 0.000
3 S 0.000 0.500 0.000
4 S 0.500 0.000 0.000
5 P 0.000 0.000 0.500


two.
## SbMoPS2 (PBE)

Data for an optimized crystal structure of SbMoPS2.

Results
SG   P4/mmm (123)
Volume   24.69 Å³/atom
Theoretical density   4.208 g/cm³

Unit cell a=4.927 b=4.927 c=5.084 alpha=90.00 beta=90.00 gamma=90.00
Fractional coordinates of all 5 atoms:
1 Sb 0.000 0.000 0.000
2 Mo 0.500 0.500 0.500
3 S 0.000 0.500 0.000
4 S 0.500 0.000 0.000
5 P 0.000 0.000 0.500


Most stable structure, least stable structure: one, two.


one.
## MoPSeS2 (PBE)

Data for an optimized crystal structure of MoPSeS2.

Results
SG   P4/mmm (123)
Volume   20.92 Å³/atom
Theoretical density   4.286 g/cm³

Unit cell a=4.683 b=4.683 c=4.770 alpha=90.00 beta=90.00 gamma=90.00
Fractional coordinates of all 5 atoms:
1 P 0.000 0.000 0.500
2 Mo 0.500 0.500 0.500
3 S 0.000 0.500 0.000
4 S 0.500 0.000 0.000
5 Se 0.000 0.000 0.000


two.
## MoPSeS2 (PBE)

Data for an optimized crystal structure of MoPSeS2.

Results
SG   P4/mmm (123)
Volume   20.75 Å³/atom
Theoretical density   4.321 g/cm³

Unit cell a=4.543 b=4.543 c=5.027 alpha=90.00 beta=90.00 gamma=90.00
Fractional coordinates of all 5 atoms:
1 P 0.000 0.000 0.500
2 Mo 0.000 0.000 0.000
3 S 0.000 0.500 0.000
4 S 0.500 0.000 0.000
5 Se 0.500 0.500 0.500


Most stable structure, least stable structure: two, one.


one.
## SiMoP2S (PBE)

Data for an optimized crystal structure of SiMoP2S.

Results
SG   P4/mmm (123)
Volume   17.62 Å³/atom
Theoretical density   4.109 g/cm³

Unit cell a=4.438 b=4.438 c=4.474 alpha=90.00 beta=90.00 gamma=90.00
Fractional coordinates of all 5 atoms:
1 P 0.000 0.500 0.000
2 P 0.500 0.000 0.000
3 Mo 0.500 0.500 0.500
4 Si 0.000 0.000 0.000
5 S 0.000 0.000 0.500


two.
## SiMoP2S (PBE)

Data for an optimized crystal structure of SiMoP2S.

Results
SG   P4/mmm (123)
Volume   20.69 Å³/atom
Theoretical density   3.501 g/cm³

Unit cell a=4.789 b=4.789 c=4.510 alpha=90.00 beta=90.00 gamma=90.00
Fractional coordinates of all 5 atoms:
1 P 0.000 0.500 0.000
2 P 0.500 0.000 0.000
3 Mo 0.000 0.000 0.000
4 Si 0.500 0.500 0.500
5 S 0.000 0.000 0.500


Most stable structure, least stable structure: two, one.


one.
## SiMoPS2 (PBE)

Data for an optimized crystal structure of SiMoPS2.

Results
SG   P4/mmm (123)
Volume   20.81 Å³/atom
Theoretical density   3.498 g/cm³

Unit cell a=4.567 b=4.567 c=4.987 alpha=90.00 beta=90.00 gamma=90.00
Fractional coordinates of all 5 atoms:
1 P 0.000 0.000 0.500
2 Mo 0.000 0.000 0.000
3 Si 0.500 0.500 0.500
4 S 0.000 0.500 0.000
5 S 0.500 0.000 0.000


two.
## SiMoPS2 (PBE)

Data for an optimized crystal structure of SiMoPS2.

Results
SG   P4/mmm (123)
Volume   17.74 Å³/atom
Theoretical density   4.103 g/cm³

Unit cell a=4.438 b=4.438 c=4.503 alpha=90.00 beta=90.00 gamma=90.00
Fractional coordinates of all 5 atoms:
1 P 0.000 0.000 0.500
2 Mo 0.500 0.500 0.500
3 Si 0.000 0.000 0.000
4 S 0.000 0.500 0.000
5 S 0.500 0.000 0.000


Most stable structure, least stable structure: one, two.


one.
## TcMoPS2 (PBE)

Data for an optimized crystal structure of TcMoPS2.

Results
SG   P4/mmm (123)
Volume   20.68 Å³/atom
Theoretical density   4.641 g/cm³

Unit cell a=4.584 b=4.584 c=4.921 alpha=90.00 beta=90.00 gamma=90.00
Fractional coordinates of all 5 atoms:
1 S 0.000 0.500 0.000
2 S 0.500 0.000 0.000
3 P 0.000 0.000 0.500
4 Mo 0.000 0.000 0.000
5 Tc 0.500 0.500 0.500


two.
## TcMoPS2 (PBE)

Data for an optimized crystal structure of TcMoPS2.

Results
SG   P4/mmm (123)
Volume   18.75 Å³/atom
Theoretical density   5.121 g/cm³

Unit cell a=4.526 b=4.526 c=4.576 alpha=90.00 beta=90.00 gamma=90.00
Fractional coordinates of all 5 atoms:
1 S 0.000 0.500 0.000
2 S 0.500 0.000 0.000
3 P 0.000 0.000 0.500
4 Mo 0.500 0.500 0.500
5 Tc 0.000 0.000 0.000


Most stable structure, least stable structure: one, two.


one.
## TiMoP2S (PBE)

Data for an optimized crystal structure of TiMoP2S.

Results
SG   P4/mmm (123)
Volume   20.09 Å³/atom
Theoretical density   3.931 g/cm³

Unit cell a=4.684 b=4.684 c=4.579 alpha=90.00 beta=90.00 gamma=90.00
Fractional coordinates of all 5 atoms:
1 P 0.000 0.500 0.000
2 P 0.500 0.000 0.000
3 Mo 0.500 0.500 0.500
4 S 0.000 0.000 0.500
5 Ti 0.000 0.000 0.000


two.
## TiMoP2S (PBE)

Data for an optimized crystal structure of TiMoP2S.

Results
SG   P4/mmm (123)
Volume   20.40 Å³/atom
Theoretical density   3.872 g/cm³

Unit cell a=4.662 b=4.662 c=4.692 alpha=90.00 beta=90.00 gamma=90.00
Fractional coordinates of all 5 atoms:
1 P 0.000 0.500 0.000
2 P 0.500 0.000 0.000
3 Mo 0.000 0.000 0.000
4 S 0.000 0.000 0.500
5 Ti 0.500 0.500 0.500


Most stable structure, least stable structure: two, one.